# 1
CaYb3 after structural relaxation. Source: Alexandria via LeMat-Bulk, functional PBE.

Calculated values
DFT formation energy in eV/atom: -0.0842
Calculated total energy in eV per cell: -27.67
DOS at the Fermi energy in states/eV/atom: 10.885

a = 8.3807 Å, b = 8.3807 Å, c = 8.3807 Å
α = 90.00°, β = 90.00°, γ = 90.00°
With the nearest neighbours (Å) after each atom.
Space group Fm-3m (No. 225)
One atom of each set of equivalent atoms:
1 Ca 0.0000 0.0000 0.0000 (multiplicity 4)  8 Yb 3.63
2 Yb 0.0000 0.0000 0.5000 (multiplicity 4)  8 Yb 3.63
3 Yb 0.2500 0.2500 0.2500 (multiplicity 8)  4 Ca 3.63, 4 Yb 3.63

=====

# 2
CaYbZn2 after structural relaxation. Source: Alexandria via LeMat-Bulk, functional PBE.

Calculated values
DFT formation energy in eV/atom: -0.2696
Calculated total energy in eV per cell: -28.62
DOS at the Fermi energy in states/eV/atom: 0.586

a = 7.2867 Å, b = 7.2867 Å, c = 7.2867 Å
α = 90.00°, β = 90.00°, γ = 90.00°
With the nearest neighbours (Å) after each atom.
Space group Fm-3m (No. 225)
One atom of each set of equivalent atoms:
1 Ca 0.0000 0.0000 0.0000 (multiplicity 4)  8 Zn 3.16
2 Yb 0.0000 0.0000 0.5000 (multiplicity 4)  8 Zn 3.16
3 Zn 0.2500 0.2500 0.2500 (multiplicity 8)  4 Yb 3.16, 4 Ca 3.16